! Ba2NaSnHg6 | the Alexandria database | PBE-GGA | optimized geometry; values from VASP
! D(E_F) = 7.04 states/eV per cell
! total DFT energy (no corrections) = -1.2543 eV/atom
! magnetization = 0.00 μB per atom
&SYSTEM
  ibrav = 0, nat = 10, ntyp = 4
/
ATOMIC_SPECIES
Ba 137.33 Ba.upf
Na 22.99 Na.upf
Sn 118.71 Sn.upf
Hg 200.59 Hg.upf
ATOMIC_POSITIONS crystal
Ba 0.250 0.750 0.500
Ba 0.750 0.250 0.500
Na 0.500 0.500 0.000
Sn 0.000 0.000 0.000
Hg 0.255 0.745 0.000
Hg 0.745 0.745 0.000
Hg 0.255 0.255 0.490
Hg 0.745 0.255 0.000
Hg 0.255 0.255 0.000
Hg 0.745 0.745 0.510
CELL_PARAMETERS angstrom
7.930 0.000 0.000
0.000 7.930 0.000
3.965 3.965 5.608

! VCo | the Alexandria database | PBE-GGA | optimized geometry; values from VASP
! D(E_F) = 20.72 states/eV per cell
! total DFT energy (no corrections) = -8.1798 eV/atom
! magnetization = 0.00 μB per atom
&SYSTEM
  ibrav = 0, nat = 16, ntyp = 2
/
ATOMIC_SPECIES
V 50.94 V.upf
Co 58.93 Co.upf
ATOMIC_POSITIONS crystal
V 0.620 0.250 0.690
V 0.120 0.250 0.810
V 0.380 0.750 0.310
V 0.880 0.750 0.190
V 0.637 0.250 0.958
V 0.137 0.250 0.542
V 0.363 0.750 0.042
V 0.863 0.750 0.458
Co 0.572 0.250 0.190
Co 0.072 0.250 0.310
Co 0.428 0.750 0.810
Co 0.928 0.750 0.690
Co 0.095 0.250 0.064
Co 0.595 0.250 0.436
Co 0.905 0.750 0.936
Co 0.405 0.750 0.564
CELL_PARAMETERS angstrom
-3.031 1.596 -3.137
-1.118 -3.824 -0.864
-7.074 0.470 7.075

! K4U3NbN8 | the Alexandria database | PBE-GGA | optimized geometry; values from VASP
! D(E_F) = 7.19 states/eV per cell
! formation energy without anion corrections = -0.904 eV per atom
! magnetization = 0.19 μB per atom
&SYSTEM
  ibrav = 0, nat = 16, ntyp = 4
/
ATOMIC_SPECIES
K 39.10 K.upf
U 238.03 U.upf
Nb 92.91 Nb.upf
N 14.01 N.upf
ATOMIC_POSITIONS crystal
K 0.500 0.000 0.000
K 0.500 0.000 0.500
K 0.000 0.000 0.000
K 0.000 0.000 0.500
U 0.500 0.500 0.000
U 0.500 0.500 0.500
U 0.000 0.500 0.500
Nb 0.000 0.500 0.000
N 0.219 0.662 0.943
N 0.219 0.662 0.438
N 0.279 0.337 0.558
N 0.724 0.662 0.943
N 0.276 0.338 0.057
N 0.721 0.663 0.442
N 0.781 0.338 0.562
N 0.781 0.338 0.057
CELL_PARAMETERS angstrom
6.899 0.000 0.000
0.000 7.533 0.428
-3.449 -3.437 4.887

! Pm2PrCd | the Alexandria database | PBE-GGA | optimized geometry; values from VASP
! D(E_F) = 6.46 states/eV per cell
! total DFT energy (no corrections) = -3.9060 eV/atom
! magnetization = 0.00 μB per atom
&SYSTEM
  ibrav = 0, nat = 4, ntyp = 3
/
ATOMIC_SPECIES
Pr 140.91 Pr.upf
Cd 112.41 Cd.upf
Pm 145.00 Pm.upf
ATOMIC_POSITIONS crystal
Pr 0.500 0.500 0.500
Cd 0.500 0.000 0.000
Pm 0.000 0.000 0.500
Pm 0.000 0.500 0.000
CELL_PARAMETERS angstrom
4.981 0.000 0.000
0.000 4.978 0.000
0.000 0.000 4.978

! NaLa2HS | the Alexandria database | PBE-GGA | optimized geometry; values from VASP
! D(E_F) = 8.28 states/eV per cell
! total DFT energy (no corrections) = -3.8869 eV/atom
! magnetization = 0.00 μB per atom
&SYSTEM
  ibrav = 0, nat = 5, ntyp = 4
/
ATOMIC_SPECIES
Na 22.99 Na.upf
S 32.06 S.upf
H 1.01 H.upf
La 138.91 La.upf
ATOMIC_POSITIONS crystal
Na 0.000 0.500 0.000
S 0.000 0.000 0.000
H 0.500 0.500 0.500
La 0.000 0.000 0.500
La 0.500 0.000 0.000
CELL_PARAMETERS angstrom
5.554 0.000 0.000
0.000 5.049 0.000
0.000 0.000 5.554

! Na10B19C | the Alexandria database | PBE-GGA | optimized geometry; values from VASP
! D(E_F) = 6.54 states/eV per cell
! total DFT energy (no corrections) = -4.6980 eV/atom
! magnetization = 0.00 μB per atom
&SYSTEM
  ibrav = 0, nat = 30, ntyp = 3
/
ATOMIC_SPECIES
Na 22.99 Na.upf
B 10.81 B.upf
C 12.01 C.upf
ATOMIC_POSITIONS crystal
Na 0.997 0.001 0.998
Na 0.798 0.802 0.502
Na 0.203 0.197 0.000
Na 0.003 0.997 0.500
Na 0.398 0.402 0.998
Na 0.199 0.203 0.502
Na 0.599 0.600 0.998
Na 0.403 0.398 0.500
Na 0.802 0.797 0.000
Na 0.600 0.601 0.502
B 0.220 0.577 0.750
B 0.980 0.621 0.250
B 0.010 0.371 0.250
B 0.177 0.828 0.750
B 0.439 0.761 0.750
B 0.162 0.836 0.250
B 0.237 0.569 0.250
B 0.372 0.023 0.750
B 0.623 0.980 0.750
B 0.364 0.038 0.250
B 0.440 0.760 0.250
B 0.566 0.237 0.750
B 0.830 0.166 0.751
B 0.579 0.220 0.250
B 0.631 0.963 0.250
B 0.781 0.419 0.750
B 0.034 0.370 0.749
B 0.829 0.190 0.250
B 0.963 0.634 0.750
C 0.759 0.441 0.250
CELL_PARAMETERS angstrom
6.502 0.047 -4.693
4.428 4.761 -4.693
0.509 0.224 10.589

! Pm2HfHg | the Alexandria database | PBE-GGA | optimized geometry; values from VASP
! D(E_F) = 4.44 states/eV per cell
! total DFT energy (no corrections) = -5.0494 eV/atom
! magnetization = 0.00 μB per atom
&SYSTEM
  ibrav = 0, nat = 4, ntyp = 3
/
ATOMIC_SPECIES
Hf 178.49 Hf.upf
Hg 200.59 Hg.upf
Pm 145.00 Pm.upf
ATOMIC_POSITIONS crystal
Hf 0.500 0.500 0.500
Hg 0.500 0.500 0.000
Pm 0.000 0.000 0.755
Pm 0.000 0.000 0.245
CELL_PARAMETERS angstrom
3.483 0.000 0.000
0.000 3.483 0.000
0.000 0.000 9.105

! PmDy5Y12 | the Alexandria database | PBE-GGA | optimized geometry; values from VASP
! D(E_F) = 26.40 states/eV per cell
! total DFT energy (no corrections) = -5.8290 eV/atom
! magnetization = 0.00 μB per atom
&SYSTEM
  ibrav = 0, nat = 18, ntyp = 3
/
ATOMIC_SPECIES
Pm 145.00 Pm.upf
Dy 162.50 Dy.upf
Y 88.91 Y.upf
ATOMIC_POSITIONS crystal
Pm 0.000 0.000 0.000
Dy 0.500 0.000 0.500
Dy 0.168 0.665 0.500
Dy 0.832 0.335 0.500
Dy 0.667 0.667 0.000
Dy 0.333 0.333 0.000
Y 0.833 0.000 0.500
Y 0.167 0.000 0.500
Y 0.666 0.000 0.000
Y 0.334 0.000 0.000
Y 0.333 0.666 0.000
Y 0.001 0.666 0.000
Y 0.999 0.334 0.000
Y 0.667 0.334 0.000
Y 0.499 0.333 0.500
Y 0.832 0.667 0.500
Y 0.168 0.333 0.500
Y 0.501 0.667 0.500
CELL_PARAMETERS angstrom
15.125 -0.006 0.004
7.559 7.572 0.002
-0.002 0.000 5.043